# GaSiNiOs | the Alexandria database | PBE | relaxed
# Space group: P2/m, No. 10
# ΔE_f (raw) in kJ/mol of formula units: -70
# Calculated total energy in eV per atom: -6.547
# Relative energy among the computed polymorphs in eV/atom: 0.086
# Magnetization in μB per formula unit: 0.0
data_GaSiNiOs
_space_group_name_H-M_alt 'P 1'
_space_group_IT_number 1
_space_group_name_Hall 'P 1'
_cell_length_a 4.0820
_cell_length_b 2.9808
_cell_length_c 4.2459
_cell_angle_alpha 90.00
_cell_angle_beta 90.25
_cell_angle_gamma 90.00
loop_
_atom_site_label
_atom_site_type_symbol
_atom_site_fract_x
_atom_site_fract_y
_atom_site_fract_z
Ga1 Ga 0.0000 0.0000 0.0000
Si1 Si 0.5000 0.0000 0.5000
Ni1 Ni 0.5000 0.5000 0.0000
Os1 Os 0.0000 0.5000 0.5000